VASP calculation (GGA-PBE) on a relaxed structure of Zn3Mo2W4C3.

Properties
* total moment: 0.001 μB/atom
* uncorrected energy: -8.62 eV/atom

a b c (Å): 9.0635 5.2271 14.1332
angles (deg): 90.00 102.47 90.00
Closest atoms and distances in Å follow each position.
Space group C2/c (No. 15)
Unique sites:
Zn 0.0000 0.0694 0.2500 x4  4 Zn 2.61-2.63, 4 W 2.73-2.74
Zn 0.2402 0.3454 0.2498 x8  4 Zn 2.61-2.63, 4 W 2.73-2.74
Mo 0.0514 0.4181 0.9075 x8  3 C 2.12-2.17
W 0.1123 0.0847 0.0850 x8  3 C 2.10-2.14
W 0.2218 0.0829 0.4150 x8  3 C 2.10-2.14
C 0.0806 0.2571 0.5000 x8  4 W 2.10-2.14, 2 Mo 2.12-2.13
C 0.2500 0.2500 0.0000 x4  4 W 2.10, 2 Mo 2.17